[1]
GGA-PBE Li2Tl3In6, optimized geometry; ΔE_f = -34 meV/atom; space-group type = Im-3m, No. 229
1.0
-5.3085 5.3085 5.3085
5.3085 -5.3085 5.3085
5.3085 5.3085 -5.3085
Li Tl In
4 6 12
direct
0.0000 0.0000 0.5000
0.0000 0.5000 0.0000
0.5000 0.0000 0.0000
0.5000 0.5000 0.5000
0.0000 0.2523 0.2523
0.0000 0.7477 0.7477
0.2523 0.0000 0.2523
0.2523 0.2523 0.0000
0.7477 0.0000 0.7477
0.7477 0.7477 0.0000
0.0000 0.3383 0.6617
0.0000 0.6617 0.3383
0.3234 0.6617 0.6617
0.3383 0.0000 0.6617
0.3383 0.3383 0.6766
0.3383 0.6617 0.0000
0.3383 0.6766 0.3383
0.6617 0.0000 0.3383
0.6617 0.3234 0.6617
0.6617 0.3383 0.0000
0.6617 0.6617 0.3234
0.6766 0.3383 0.3383

=====

[2]
GGA-PBE Ba3SbPt, optimized geometry; formation energy from raw total energies = -0.670 eV/atom; space-group type = Pm-3m, No. 221; energy above the most stable polymorph in this dataset = 0.00 eV per formula unit
1.0
6.0297 0.0000 0.0000
0.0000 6.0297 0.0000
0.0000 0.0000 6.0297
Ba Sb Pt
3 1 1
direct
0.0000 0.0000 0.5000
0.0000 0.5000 0.0000
0.5000 0.0000 0.0000
0.5000 0.5000 0.5000
0.0000 0.0000 0.0000

=====

[3]
GGA-PBE Tb2PrPd2, optimized geometry; ΔE_f = -669 meV/atom; space-group type = P4/mbm, No. 127; energy above the most stable polymorph in this dataset = 0.00 eV per formula unit
1.0
8.0043 0.0000 0.0000
0.0000 8.0043 0.0000
0.0000 0.0000 3.8974
Tb Pr Pd
4 2 4
direct
0.1637 0.3363 0.0000
0.3363 0.8363 0.0000
0.6637 0.1637 0.0000
0.8363 0.6637 0.0000
0.0000 0.0000 0.5000
0.5000 0.5000 0.5000
0.1276 0.6276 0.5000
0.3724 0.1276 0.5000
0.6276 0.8724 0.5000
0.8724 0.3724 0.5000

=====

Summary of ρ in g/cm³
7.30; 5.52; 8.93
(order as listed above)
Summary of VASP energy in eV/atom
-2.521; -3.856; -5.554
(order as listed above)